(1)
Crystalline ZnAuCl2 at its relaxed geometry. Source: Alexandria, functional PBE.

a b c (Å): 3.7218 3.7349 6.5079
angles (deg): 90.00 92.80 90.00
Last column: nearest neighbours and their distance in Å.
Space group P2/m (No. 10)
Symmetry-distinct sites (fractional):
1 Zn 0.0000 0.0000 0.0000 [1 per cell]  4 Cl 2.64
2 Au 0.0000 0.0000 0.5000 [1 per cell]  4 Cl 2.64
3 Cl 0.5000 0.5000 0.0000 [1 per cell]  4 Zn 2.64
4 Cl 0.5000 0.5000 0.5000 [1 per cell]  4 Au 2.64

ΔE to the lowest computed polymorph: 375.4 meV per atom
uncorrected formation energy: -0.08 eV/atom
total moment: 0.00 μB per formula unit
calculated total energy: -2.1393 eV/atom
crystal system: monoclinic



(2)
Crystalline Pm2NdYS4 at its relaxed geometry. Source: Alexandria, functional PBE.

a b c (Å): 6.9638 3.9771 6.9921
angles (deg): 90.00 109.02 90.00
Last column: nearest neighbours and their distance in Å.
Space group P2/m (No. 10)
Symmetry-distinct sites (fractional):
1 Pm 0.0000 0.0000 0.0000 [1 per cell]  6 S 2.83
2 Pm 0.0000 0.5000 0.5000 [1 per cell]  6 S 2.88-2.89
3 Nd 0.5000 0.0000 0.5000 [1 per cell]  6 S 2.85
4 Y 0.5000 0.5000 0.0000 [1 per cell]  6 S 2.79-2.80
5 S 0.2517 0.5000 0.2438 [2 per cell]  1 Y 2.80, 3 Pm 2.83-2.89, 2 Nd 2.85
6 S 0.2568 0.0000 0.7589 [2 per cell]  2 Y 2.79, 3 Pm 2.83-2.88, 1 Nd 2.85

uncorrected formation energy: -2.02 eV/atom
total moment: 0.00 μB per formula unit
calculated total energy: -6.6732 eV/atom
crystal system: monoclinic



(3)
Crystalline Ce5Co2Sn2 at its relaxed geometry. Source: Alexandria, functional PBE.

a b c (Å): 6.7107 21.9140 6.7968
angles (deg): 90.00 90.00 90.00
Last column: nearest neighbours and their distance in Å.
Space group Imma (No. 74)
Symmetry-distinct sites (fractional):
1 Ce 0.0000 0.1412 0.0015 [8 per cell]  1 Co 2.40
2 Ce 0.0000 0.2500 0.5498 [4 per cell]  1 Co 2.76
3 Ce 0.2500 0.0006 0.7500 [8 per cell]  2 Co 2.39
4 Co 0.0000 0.0000 0.0000 [4 per cell]  4 Ce 2.39
5 Co 0.0000 0.2500 0.9560 [4 per cell]  2 Ce 2.40
6 Sn 0.0000 0.1058 0.4986 [8 per cell]  9 Ce 3.18-3.50

ΔE_f: -0.2872 eV per atom
total moment: 2.20 μB per formula unit
calculated total energy: -6.0524 eV/atom
crystal system: orthorhombic



(4)
Crystalline Ac2DyErS6 at its relaxed geometry. Source: Alexandria, functional PBE.

a b c (Å): 7.2492 7.2492 18.4261
angles (deg): 90.00 90.00 120.00
Last column: nearest neighbours and their distance in Å.
Space group R3 (No. 146, hexagonal axes)
Symmetry-distinct sites (fractional):
1 Ac 0.0000 0.0000 0.0000 [3 per cell]  6 S 2.97-3.06
2 Ac 0.0000 0.0000 0.4998 [3 per cell]  6 S 2.97-3.06
3 Dy 0.0000 0.0000 0.2153 [3 per cell]  6 S 2.70-2.77
4 Er 0.0000 0.0000 0.7149 [3 per cell]  6 S 2.68-2.74
5 S 0.0674 0.3514 0.7860 [9 per cell]  1 Er 2.68, 1 Dy 2.77, 1 Ac 2.97
6 S 0.0685 0.7141 0.2865 [9 per cell]  1 Dy 2.70, 1 Er 2.74, 1 Ac 2.97

uncorrected formation energy: -2.11 eV/atom
total moment: 0.00 μB per formula unit
calculated total energy: -6.3280 eV/atom
crystal system: trigonal



(5)
Crystalline La2PrTh at its relaxed geometry. Source: Alexandria, functional PBE.

a b c (Å): 3.7015 3.7015 11.9152
angles (deg): 90.00 90.00 120.00
Last column: nearest neighbours and their distance in Å.
Space group P-6m2 (No. 187)
Symmetry-distinct sites (fractional):
1 La 0.0000 0.0000 0.2447 [2 per cell]  3 Th 3.61, 6 La 3.70, 3 Pr 3.72
2 Pr 0.6667 0.3333 0.5000 [1 per cell]  6 Pr 3.70, 6 La 3.72
3 Th 0.3333 0.6667 0.0000 [1 per cell]  6 La 3.61, 6 Th 3.70

ΔE to the lowest computed polymorph: 25.9 meV per atom
ΔE_f: 0.0394 eV per atom
total moment: 0.00 μB per formula unit
calculated total energy: -5.4742 eV/atom
crystal system: hexagonal



(6)
Crystalline Nd2PaO6 at its relaxed geometry. Source: Alexandria, functional PBE.

a b c (Å): 3.9375 5.6122 11.6495
angles (deg): 90.00 90.00 90.00
Last column: nearest neighbours and their distance in Å.
Space group Immm (No. 71)
Symmetry-distinct sites (fractional):
1 Nd 0.0000 0.0000 0.1674 [4 per cell]  8 O 2.45-2.48
2 Pa 0.0000 0.0000 0.5000 [2 per cell]  8 O 2.26-2.35
3 O 0.0000 0.2394 0.3436 [8 per cell]  1 Pa 2.26, 3 Nd 2.45-2.46
4 O 0.0000 0.2715 0.0000 [4 per cell]  2 Pa 2.35, 2 Nd 2.48, 1 O 2.56

ΔE to the lowest computed polymorph: 0.0 meV per atom
uncorrected formation energy: -3.31 eV/atom
total moment: 1.04 μB per formula unit
calculated total energy: -8.7265 eV/atom
crystal system: orthorhombic



(7)
Crystalline ZrInRu2 at its relaxed geometry. Source: Alexandria, functional PBE.

a b c (Å): 8.9197 3.1539 5.1820
angles (deg): 90.00 104.86 90.00
Last column: nearest neighbours and their distance in Å.
Space group C2/m (No. 12)
Symmetry-distinct sites (fractional):
1 Zr 0.0000 0.0000 0.0000 [2 per cell]  6 Ru 2.73-2.88, 4 In 3.03
2 In 0.0000 0.5000 0.5000 [2 per cell]  6 Ru 2.80-2.82, 4 Zr 3.03
3 Ru 0.2454 0.5000 0.2472 [4 per cell]  3 Zr 2.73-2.88, 3 In 2.80-2.82, 4 Ru 3.03-3.04

ΔE_f: -0.0764 eV per atom
total moment: 0.00 μB per formula unit
calculated total energy: -7.5360 eV/atom
crystal system: monoclinic



(8)
Crystalline SiRh2Cl at its relaxed geometry. Source: Alexandria, functional PBE.

a b c (Å): 2.8674 5.2930 8.1875
angles (deg): 90.00 90.00 90.00
Last column: nearest neighbours and their distance in Å.
Space group Immm (No. 71)
Symmetry-distinct sites (fractional):
1 Si 0.0000 0.0000 0.0000 [2 per cell]  4 Rh 2.36
2 Rh 0.0000 0.5000 0.2708 [4 per cell]  2 Si 2.36, 2 Cl 2.64
3 Cl 0.0000 0.0000 0.5000 [2 per cell]  4 Rh 2.64, 2 Cl 2.87

ΔE to the lowest computed polymorph: 399.5 meV per atom
uncorrected formation energy: -0.04 eV/atom
total moment: 0.00 μB per formula unit
calculated total energy: -5.5367 eV/atom
crystal system: orthorhombic



(9)
Crystalline Hf2VGeBi at its relaxed geometry. Source: Alexandria, functional PBE.

a b c (Å): 5.3659 5.3659 5.2329
angles (deg): 90.00 90.00 90.00
Last column: nearest neighbours and their distance in Å.
Space group P4/mmm (No. 123)
Symmetry-distinct sites (fractional):
1 Hf 0.0000 0.5000 0.0000 [2 per cell]  2 Bi 2.68
2 V 0.0000 0.0000 0.5000 [1 per cell]  8 Hf 3.75, 4 Ge 3.79
3 Ge 0.5000 0.5000 0.5000 [1 per cell]  2 Bi 2.62
4 Bi 0.5000 0.5000 0.0000 [1 per cell]  2 Ge 2.62, 4 Hf 2.68

ΔE_f: 1.8615 eV per atom
total moment: 0.30 μB per formula unit
calculated total energy: -5.6433 eV/atom
crystal system: tetragonal



(10)
Crystalline Sr2CrCo at its relaxed geometry. Source: Alexandria, functional PBE.

a b c (Å): 7.0989 4.0940 8.7498
angles (deg): 90.00 105.24 90.00
Last column: nearest neighbours and their distance in Å.
Space group Cm (No. 8)
Symmetry-distinct sites (fractional):
1 Sr 0.0000 0.0000 0.0000 [2 per cell]  3 Co 3.27, 3 Cr 3.28
2 Sr 0.1738 0.0000 0.5372 [2 per cell]  3 Cr 3.27, 3 Co 3.28
3 Cr 0.2540 0.5000 0.2691 [2 per cell]  3 Co 2.36-2.37
4 Co 0.4203 0.0000 0.2679 [2 per cell]  3 Cr 2.36-2.37

ΔE to the lowest computed polymorph: 0.0 meV per atom
ΔE_f: 0.3602 eV per atom
total moment: 3.01 μB per formula unit
calculated total energy: -4.6630 eV/atom
crystal system: monoclinic



(11)
Crystalline CsCrCu3 at its relaxed geometry. Source: Alexandria, functional PBE.

a b c (Å): 5.3826 5.3826 5.3826
angles (deg): 90.00 90.00 90.00
Last column: nearest neighbours and their distance in Å.
Space group Pm-3m (No. 221)
Symmetry-distinct sites (fractional):
1 Cs 0.0000 0.0000 0.0000 [1 per cell]  6 Cu 2.69
2 Cr 0.5000 0.5000 0.5000 [1 per cell]  12 Cu 3.81
3 Cu 0.0000 0.0000 0.5000 [3 per cell]  2 Cs 2.69

ΔE to the lowest computed polymorph: 1189.9 meV per atom
ΔE_f: 2.0924 eV per atom
total moment: 4.30 μB per formula unit
calculated total energy: -2.4607 eV/atom
crystal system: cubic



Question: Look up the calculated total energy of the third one.
Answer: -6.0524 eV/atom



Question: Look up the total moment of the fourth one.
Answer: 0.00 μB per formula unit